Below is Sr3Al2As4 at its PBEsol-relaxed geometry, with properties calculated at the SCAN level.

## Properties
**Crystal system**: monoclinic
**Energy relative to the elements**: -1.121 eV/atom
**N(E_F)**: 0.00 states/eV/f.u.
**DFT total energy**: -19.242 eV/atom

Cell and atoms, written as POSCAR:
```
Sr3Al2As4
1.0
6.8185 -5.2744 0.0000
6.8185 5.2744 0.0000
-0.0501 0.0000 6.8845
Sr Al As
6 4 8
Direct
0.0979 0.9021 0.7500
0.2479 0.5061 0.4615
0.4939 0.7521 0.0385
0.5061 0.2479 0.9615
0.7521 0.4939 0.5385
0.9021 0.0979 0.2500
0.0818 0.3286 0.9190
0.3286 0.0818 0.4190
0.6714 0.9182 0.5810
0.9182 0.6714 0.0810
0.0763 0.2411 0.5739
0.2086 0.5597 0.9757
0.2411 0.0763 0.0739
0.4403 0.7914 0.5243
0.5597 0.2086 0.4757
0.7589 0.9237 0.9261
0.7914 0.4403 0.0243
0.9237 0.7589 0.4261
```